# 1
## Al2InTeI (PBE)

Data for a geometry-optimized Al2InTeI structure.

Cell lengths 5.6726, 5.6726, 5.5344 Å; angles 90.00, 90.00, 90.00 degrees
Atoms (fractional coordinates):
Al  0.0000  0.5000  0.0000
Al  0.5000  0.0000  0.0000
In  0.0000  0.0000  0.0000
Te  0.0000  0.0000  0.5000
I  0.5000  0.5000  0.5000

# 2
## AlIr2I2 (PBE)

Data for a geometry-optimized AlIr2I2 structure.

Output
- excess energy over the best structure of this formula in the dataset (meV per atom) = 210.1

Cell lengths 8.4523, 8.4523, 3.2168 Å; angles 90.00, 90.00, 90.00 degrees
Atoms (fractional coordinates):
Al  0.0000  0.0000  0.0000
Al  0.5000  0.5000  0.0000
Ir  0.1055  0.3945  0.5000
Ir  0.3945  0.8945  0.5000
Ir  0.6055  0.1055  0.5000
Ir  0.8945  0.6055  0.5000
I  0.2201  0.7201  0.0000
I  0.2799  0.2201  0.0000
I  0.7201  0.7799  0.0000
I  0.7799  0.2799  0.0000

# 3
## Al2IrI (PBE)

Data for a geometry-optimized Al2IrI structure.

Output
- excess energy over the best structure of this formula in the dataset (meV per atom) = 0.0

Cell lengths 7.9080, 7.9080, 7.9080 Å; angles 137.22, 137.22, 62.10 degrees
Atoms (fractional coordinates):
Al  0.0149  0.6250  0.8899
Al  0.3750  0.2649  0.3899
Al  0.7351  0.1250  0.1101
Al  0.8750  0.9851  0.6101
Ir  0.0000  0.0000  0.0000
Ir  0.7500  0.2500  0.5000
I  0.2500  0.7500  0.5000
I  0.5000  0.5000  0.0000

# 4
## Al2IrI (PBE)

Data for a geometry-optimized Al2IrI structure.

Output
- excess energy over the best structure of this formula in the dataset (meV per atom) = 545.2

Cell lengths 4.7173, 4.7173, 4.7173 Å; angles 60.00, 60.00, 60.00 degrees
Atoms (fractional coordinates):
Al  0.2500  0.2500  0.2500
Al  0.7500  0.7500  0.7500
Ir  0.0000  0.0000  0.0000
I  0.5000  0.5000  0.5000

# 5
## AlIr3I (PBE)

Data for a geometry-optimized AlIr3I structure.

Output
- excess energy over the best structure of this formula in the dataset (meV per atom) = 0.0

Cell lengths 4.5927, 4.5927, 4.5927 Å; angles 90.00, 90.00, 90.00 degrees
Atoms (fractional coordinates):
Al  0.0000  0.0000  0.0000
Ir  0.0000  0.0000  0.5000
Ir  0.0000  0.5000  0.0000
Ir  0.5000  0.0000  0.0000
I  0.5000  0.5000  0.5000

# 6
## AlIrI2 (PBE)

Data for a geometry-optimized AlIrI2 structure.

Output
- excess energy over the best structure of this formula in the dataset (meV per atom) = 262.5

Cell lengths 5.0663, 5.0663, 5.0663 Å; angles 60.00, 60.00, 60.00 degrees
Atoms (fractional coordinates):
Al  0.0000  0.0000  0.0000
Ir  0.5000  0.5000  0.5000
I  0.2500  0.2500  0.2500
I  0.7500  0.7500  0.7500

# 7
## AlIr2I2 (PBE)

Data for a geometry-optimized AlIr2I2 structure.

Output
- excess energy over the best structure of this formula in the dataset (meV per atom) = 0.0

Cell lengths 9.0330, 9.0330, 9.0330 Å; angles 156.58, 156.58, 33.36 degrees
Atoms (fractional coordinates):
Al  0.0000  0.0000  0.0000
Ir  0.2500  0.7500  0.5000
Ir  0.7500  0.2500  0.5000
I  0.3935  0.3935  0.0000
I  0.6065  0.6065  0.0000

# 8
## AlIrI2 (PBE)

Data for a geometry-optimized AlIrI2 structure.

Output
- excess energy over the best structure of this formula in the dataset (meV per atom) = 0.0

Cell lengths 7.7448, 7.7448, 7.7448 Å; angles 128.71, 128.71, 75.48 degrees
Atoms (fractional coordinates):
Al  0.0000  0.0000  0.0000
Al  0.7500  0.2500  0.5000
Ir  0.2500  0.7500  0.5000
Ir  0.5000  0.5000  0.0000
I  0.1838  0.6250  0.0588
I  0.3750  0.4338  0.5588
I  0.5662  0.1250  0.9412
I  0.8750  0.8162  0.4412

# 9
## AlIr3I (PBE)

Data for a geometry-optimized AlIr3I structure.

Output
- excess energy over the best structure of this formula in the dataset (meV per atom) = 697.2

Cell lengths 4.8549, 4.8549, 4.8549 Å; angles 90.00, 90.00, 90.00 degrees
Atoms (fractional coordinates):
Al  0.0000  0.0000  0.0000
Ir  0.0000  0.5000  0.5000
Ir  0.5000  0.0000  0.5000
Ir  0.5000  0.5000  0.0000
I  0.5000  0.5000  0.5000

# 10
## AlIrIN2 (PBE)

Data for a geometry-optimized AlIrIN2 structure.

Output
- excess energy over the best structure of this formula in the dataset (meV per atom) = 315.6

Cell lengths 3.7017, 3.7017, 7.4174 Å; angles 90.00, 90.00, 90.00 degrees
Atoms (fractional coordinates):
Al  0.0000  0.0000  0.0000
Ir  0.5000  0.5000  0.5000
I  0.0000  0.0000  0.5000
N  0.0000  0.5000  0.0000
N  0.5000  0.0000  0.0000

# 11
## AlIrI2N (PBE)

Data for a geometry-optimized AlIrI2N structure.

Output
- excess energy over the best structure of this formula in the dataset (meV per atom) = 519.3

Cell lengths 5.5236, 5.5236, 3.4318 Å; angles 90.00, 90.00, 90.00 degrees
Atoms (fractional coordinates):
Al  0.0000  0.0000  0.0000
Ir  0.5000  0.5000  0.5000
I  0.0000  0.5000  0.0000
I  0.5000  0.0000  0.0000
N  0.0000  0.0000  0.5000

# 12
## AlIrI2N (PBE)

Data for a geometry-optimized AlIrI2N structure.

Output
- excess energy over the best structure of this formula in the dataset (meV per atom) = 0.0

Cell lengths 5.7475, 5.7475, 3.7300 Å; angles 90.00, 90.00, 90.00 degrees
Atoms (fractional coordinates):
Al  0.0000  0.0000  0.0000
Ir  0.5000  0.5000  0.5000
I  0.0000  0.5000  0.5000
I  0.5000  0.0000  0.5000
N  0.5000  0.5000  0.0000

# 13
## AlIrIN2 (PBE)

Data for a geometry-optimized AlIrIN2 structure.

Output
- excess energy over the best structure of this formula in the dataset (meV per atom) = 0.0

Cell lengths 3.8561, 3.8561, 7.6585 Å; angles 90.00, 90.00, 90.00 degrees
Atoms (fractional coordinates):
Al  0.0000  0.0000  0.0000
Ir  0.5000  0.5000  0.5000
I  0.5000  0.5000  0.0000
N  0.0000  0.5000  0.5000
N  0.5000  0.0000  0.5000

# 14
## AlIrI2O (PBE)

Data for a geometry-optimized AlIrI2O structure.

Output
- excess energy over the best structure of this formula in the dataset (meV per atom) = 0.0

Cell lengths 5.4987, 5.4987, 3.3776 Å; angles 90.00, 90.00, 90.00 degrees
Atoms (fractional coordinates):
Al  0.0000  0.0000  0.0000
Ir  0.5000  0.5000  0.5000
I  0.0000  0.5000  0.0000
I  0.5000  0.0000  0.0000
O  0.0000  0.0000  0.5000

# 15
## AlIrI2O (PBE)

Data for a geometry-optimized AlIrI2O structure.

Output
- excess energy over the best structure of this formula in the dataset (meV per atom) = 70.2

Cell lengths 5.7294, 5.7294, 3.7641 Å; angles 90.00, 90.00, 90.00 degrees
Atoms (fractional coordinates):
Al  0.0000  0.0000  0.0000
Ir  0.5000  0.5000  0.5000
I  0.0000  0.5000  0.5000
I  0.5000  0.0000  0.5000
O  0.5000  0.5000  0.0000

# 16
## AlPIr2I (PBE)

Data for a geometry-optimized AlPIr2I structure.

Cell lengths 4.5691, 4.5691, 5.2203 Å; angles 90.00, 90.00, 90.00 degrees
Atoms (fractional coordinates):
Al  0.0000  0.0000  0.0000
P  0.5000  0.5000  0.5000
Ir  0.0000  0.5000  0.0000
Ir  0.5000  0.0000  0.0000
I  0.0000  0.0000  0.5000

# 17
## AlReIr2I (PBE)

Data for a geometry-optimized AlReIr2I structure.

Cell lengths 4.8483, 4.8483, 4.9572 Å; angles 90.00, 90.00, 90.00 degrees
Atoms (fractional coordinates):
Al  0.0000  0.0000  0.0000
Re  0.5000  0.5000  0.0000
Ir  0.0000  0.5000  0.5000
Ir  0.5000  0.0000  0.5000
I  0.0000  0.0000  0.5000

# 18
## AlSnIrI2 (PBE)

Data for a geometry-optimized AlSnIrI2 structure.

Cell lengths 5.5995, 5.5995, 4.6996 Å; angles 90.00, 90.00, 90.00 degrees
Atoms (fractional coordinates):
Al  0.0000  0.0000  0.0000
Sn  0.5000  0.5000  0.0000
Ir  0.0000  0.0000  0.5000
I  0.0000  0.5000  0.5000
I  0.5000  0.0000  0.5000

# 19
## Al2SnIrI (PBE)

Data for a geometry-optimized Al2SnIrI structure.

Cell lengths 5.3400, 5.3400, 5.7302 Å; angles 90.00, 90.00, 90.00 degrees
Atoms (fractional coordinates):
Al  0.0000  0.5000  0.0000
Al  0.5000  0.0000  0.0000
Sn  0.0000  0.0000  0.0000
Ir  0.5000  0.5000  0.5000
I  0.0000  0.0000  0.5000

# 20
## TaAlIrI2 (PBE)

Data for a geometry-optimized TaAlIrI2 structure.

Cell lengths 5.5480, 5.5480, 4.9109 Å; angles 90.00, 90.00, 90.00 degrees
Atoms (fractional coordinates):
Ta  0.0000  0.0000  0.0000
Al  0.5000  0.5000  0.5000
Ir  0.0000  0.0000  0.5000
I  0.0000  0.5000  0.0000
I  0.5000  0.0000  0.0000

Which uncorrected energy belongs to each record? In order, -12.556 -38.686 -35.201 -15.420 -25.508 -11.896 -20.393 -25.893 -22.022 -24.385 -19.487 -22.084 -25.963 -21.012 -20.661 -20.876 -22.845 -17.943 -14.393 -23.263 eV for the cell shown.
Which energy relative to the elements, uncorrected belongs to each record? In order, 0.47 1.04 0.07 0.62 1.27 0.95 0.83 0.69 1.97 1.28 0.91 0.39 0.97 -0.07 0.00 1.51 2.52 0.35 1.50 0.86 eV per atom.